# Ta2MnPb, optimized geometry, DFT PBE
data_Ta2MnPb
_space_group_name_H-M_alt 'I m m m'
_space_group_IT_number 71
_space_group_name_Hall '-I 2 2'
_cell_length_a 3.477
_cell_length_b 4.540
_cell_length_c 9.071
_cell_angle_alpha 90.00
_cell_angle_beta 90.00
_cell_angle_gamma 90.00
loop_
_atom_site_label
_atom_site_fract_x
_atom_site_fract_y
_atom_site_fract_z
Ta1 0.000 0.000 0.234
Mn1 0.000 0.500 0.500
Pb1 0.000 0.500 0.000
# * calculated formation energy: 0.3015 eV per atom


# Sm6Sn2Te3As, optimized geometry, DFT PBE
data_Sm6Sn2Te3As
_space_group_name_H-M_alt 'C 1 2/m 1'
_space_group_IT_number 12
_cell_length_a 19.341
_cell_length_b 4.417
_cell_length_c 8.899
_cell_angle_alpha 90.00
_cell_angle_beta 103.63
_cell_angle_gamma 90.00
loop_
_space_group_symop_operation_xyz
'x,y,z'
'-x,-y,-z'
'-x,y,-z'
'x,-y,z'
'x+1/2,y+1/2,z'
'-x+1/2,-y+1/2,-z'
'-x+1/2,y+1/2,-z'
'x+1/2,-y+1/2,z'
loop_
_atom_site_label
_atom_site_fract_x
_atom_site_fract_y
_atom_site_fract_z
Sm1 0.002 0.000 0.232
Sm2 0.159 0.500 0.086
Sm3 0.168 0.500 0.577
Sn1 0.166 0.000 0.332
Te1 0.000 0.500 0.500
Te2 0.167 0.000 0.834
As1 0.000 0.500 0.000
# * energy relative to the elements, uncorrected: -1.244 eV per atom


# Sm3Te2Ir, optimized geometry, DFT PBE
data_Sm3Te2Ir
_space_group_name_H-M_alt 'F d d d'
_space_group_IT_number 70
_cell_length_a 8.873
_cell_length_b 12.431
_cell_length_c 25.795
_cell_angle_alpha 90.00
_cell_angle_beta 90.00
_cell_angle_gamma 90.00
loop_
_space_group_symop_operation_xyz
'x,y,z'
'-x,-y,-z'
'-x+1/4,-y+1/4,z'
'x+1/4,y+1/4,-z'
'x,-y+1/4,-z+1/4'
'-x,y+1/4,z+1/4'
'-x+1/4,y,-z+1/4'
'x+1/4,-y,z+1/4'
'x,y+1/2,z+1/2'
'-x,-y+1/2,-z+1/2'
'-x+1/4,-y+3/4,z+1/2'
'x+1/4,y+3/4,-z+1/2'
'x,-y+3/4,-z+3/4'
'-x,y+3/4,z+3/4'
'-x+1/4,y+1/2,-z+3/4'
'x+1/4,-y+1/2,z+3/4'
'x+1/2,y,z+1/2'
'-x+1/2,-y,-z+1/2'
'-x+3/4,-y+1/4,z+1/2'
'x+3/4,y+1/4,-z+1/2'
'x+1/2,-y+1/4,-z+3/4'
'-x+1/2,y+1/4,z+3/4'
'-x+3/4,y,-z+3/4'
'x+3/4,-y,z+3/4'
'x+1/2,y+1/2,z'
'-x+1/2,-y+1/2,-z'
'-x+3/4,-y+3/4,z'
'x+3/4,y+3/4,-z'
'x+1/2,-y+3/4,-z+1/4'
'-x+1/2,y+3/4,z+1/4'
'-x+3/4,y+1/2,-z+1/4'
'x+3/4,-y+1/2,z+1/4'
loop_
_atom_site_label
_atom_site_fract_x
_atom_site_fract_y
_atom_site_fract_z
Sm1 0.087 0.375 0.375
Sm2 0.106 0.360 0.216
Te1 0.125 0.125 0.380
Te2 0.125 0.125 0.546
Ir1 0.125 0.125 0.041
# * offset from the most stable computed form: 0.0000 eV per atom
# * energy relative to the elements, uncorrected: -1.179 eV per atom


# CaReTe2, optimized geometry, DFT PBE
data_CaReTe2
_space_group_name_H-M_alt 'R -3 m'
_space_group_IT_number 166
_space_group_name_Hall '-R 3 2"'
_cell_length_a 4.2885
_cell_length_b 4.2885
_cell_length_c 18.8485
_cell_angle_alpha 90.00
_cell_angle_beta 90.00
_cell_angle_gamma 120.00
loop_
_atom_site_label
_atom_site_fract_x
_atom_site_fract_y
_atom_site_fract_z
Ca1 0.0000 0.0000 0.0000
Re1 0.0000 0.0000 0.5000
Te1 0.0000 0.0000 0.2310
# * offset from the most stable computed form: 0.0000 eV per atom
# * energy relative to the elements, uncorrected: -0.214 eV per atom


# TlCu2Mo, optimized geometry, DFT PBE
data_TlCu2Mo
_space_group_name_H-M_alt 'F -4 3 m'
_space_group_IT_number 216
_space_group_name_Hall 'F -4 2 3'
_cell_length_a 6.393
_cell_length_b 6.393
_cell_length_c 6.393
_cell_angle_alpha 90.00
_cell_angle_beta 90.00
_cell_angle_gamma 90.00
loop_
_atom_site_label
_atom_site_fract_x
_atom_site_fract_y
_atom_site_fract_z
Tl1 0.000 0.000 0.000
Cu1 0.000 0.000 0.500
Cu2 0.250 0.250 0.250
Mo1 0.250 0.250 0.750
# * offset from the most stable computed form: 0.2353 eV per atom
# * calculated formation energy: 0.6612 eV per atom


# CuReW2, optimized geometry, DFT PBE
data_CuReW2
_space_group_name_H-M_alt 'I 4/m m m'
_space_group_IT_number 139
_space_group_name_Hall '-I 4 2'
_cell_length_a 3.942
_cell_length_b 3.942
_cell_length_c 7.687
_cell_angle_alpha 90.00
_cell_angle_beta 90.00
_cell_angle_gamma 90.00
loop_
_atom_site_label
_atom_site_fract_x
_atom_site_fract_y
_atom_site_fract_z
Cu1 0.000 0.000 0.000
Re1 0.000 0.000 0.500
W1 0.000 0.500 0.250
# * offset from the most stable computed form: 0.0281 eV per atom
# * calculated formation energy: 0.2515 eV per atom


# NaLiNp2Se4, optimized geometry, DFT PBE
data_NaLiNp2Se4
_space_group_name_H-M_alt 'C m c m'
_space_group_IT_number 63
_space_group_name_Hall '-C 2c 2'
_cell_length_a 4.166
_cell_length_b 13.540
_cell_length_c 14.532
_cell_angle_alpha 90.00
_cell_angle_beta 90.00
_cell_angle_gamma 90.00
loop_
_atom_site_label
_atom_site_fract_x
_atom_site_fract_y
_atom_site_fract_z
Na1 0.000 0.110 0.250
Li1 0.000 0.158 0.750
Np1 0.000 0.367 0.062
Se1 0.000 0.000 0.000
Se2 0.000 0.270 0.613
Se3 0.000 0.443 0.250
# * energy relative to the elements, uncorrected: -1.170 eV per atom


# CrGa2Fe, optimized geometry, DFT PBE
data_CrGa2Fe
_space_group_name_H-M_alt 'I -4 2 d'
_space_group_IT_number 122
_space_group_name_Hall 'I -4 2bw'
_cell_length_a 6.621
_cell_length_b 6.621
_cell_length_c 5.094
_cell_angle_alpha 90.00
_cell_angle_beta 90.00
_cell_angle_gamma 90.00
loop_
_atom_site_label
_atom_site_fract_x
_atom_site_fract_y
_atom_site_fract_z
Cr1 0.000 0.000 0.000
Ga1 0.236 0.250 0.625
Fe1 0.000 0.000 0.500
# * calculated formation energy: 0.5310 eV per atom


# BeInP2, optimized geometry, DFT PBE
data_BeInP2
_space_group_name_H-M_alt 'I m m m'
_space_group_IT_number 71
_space_group_name_Hall '-I 2 2'
_cell_length_a 3.498
_cell_length_b 5.086
_cell_length_c 9.391
_cell_angle_alpha 90.00
_cell_angle_beta 90.00
_cell_angle_gamma 90.00
loop_
_atom_site_label
_atom_site_fract_x
_atom_site_fract_y
_atom_site_fract_z
Be1 0.000 0.000 0.000
In1 0.000 0.000 0.500
P1 0.000 0.500 0.370
# * calculated formation energy: 0.3037 eV per atom


# Sm3Ga2Pd7, optimized geometry, DFT PBE
data_Sm3Ga2Pd7
_space_group_name_H-M_alt 'I 4/m m m'
_space_group_IT_number 139
_space_group_name_Hall '-I 4 2'
_cell_length_a 4.085
_cell_length_b 4.085
_cell_length_c 27.974
_cell_angle_alpha 90.00
_cell_angle_beta 90.00
_cell_angle_gamma 90.00
loop_
_atom_site_label
_atom_site_fract_x
_atom_site_fract_y
_atom_site_fract_z
Sm1 0.000 0.000 0.000
Sm2 0.000 0.000 0.175
Ga1 0.000 0.000 0.370
Pd1 0.000 0.000 0.280
Pd2 0.000 0.000 0.500
Pd3 0.000 0.500 0.078
# * offset from the most stable computed form: 0.0000 eV per atom
# * calculated formation energy: -0.7744 eV per atom


# Sm2Ho3ThSe6, optimized geometry, DFT PBE
data_Sm2Ho3ThSe6
_space_group_name_H-M_alt 'C 1 2/m 1'
_space_group_IT_number 12
_cell_length_a 18.091
_cell_length_b 4.090
_cell_length_c 8.309
_cell_angle_alpha 90.00
_cell_angle_beta 104.87
_cell_angle_gamma 90.00
loop_
_space_group_symop_operation_xyz
'x,y,z'
'-x,-y,-z'
'-x,y,-z'
'x,-y,z'
'x+1/2,y+1/2,z'
'-x+1/2,-y+1/2,-z'
'-x+1/2,y+1/2,-z'
'x+1/2,-y+1/2,z'
loop_
_atom_site_label
_atom_site_fract_x
_atom_site_fract_y
_atom_site_fract_z
Sm1 0.163 0.000 0.327
Ho1 0.000 0.500 0.500
Ho2 0.165 0.000 0.834
Th1 0.000 0.500 0.000
Se1 0.003 0.000 0.740
Se2 0.166 0.500 0.589
Se3 0.171 0.500 0.077
# * energy relative to the elements, uncorrected: -1.717 eV per atom


# LiZr2TlH, optimized geometry, DFT PBE
data_LiZr2TlH
_space_group_name_H-M_alt 'P 4/m m m'
_space_group_IT_number 123
_space_group_name_Hall '-P 4 2'
_cell_length_a 4.389
_cell_length_b 4.389
_cell_length_c 4.389
_cell_angle_alpha 90.00
_cell_angle_beta 90.00
_cell_angle_gamma 90.00
loop_
_atom_site_label
_atom_site_fract_x
_atom_site_fract_y
_atom_site_fract_z
Li1 0.000 0.000 0.000
Zr1 0.000 0.500 0.500
Tl1 0.500 0.500 0.000
H1 0.000 0.000 0.500
# * VASP energy: -5.168 eV/atom


Magnetization? In order: 0.46; 0.00; 0.00; 0.00; 0.50; 0.00; 1.00; 0.00; 0.00; 0.00; 0.00; 0.00 μB/atom.